# 1
BaMn2Rh PBE optimized geometry; formation energy = 0.364 eV per atom; DOS(E_F) = 2.99 states/eV/cell; density = 5.7 g cm⁻³; size of the total moment = 8.78 Bohr magnetons per cell; space group = P4mm, No. 99
1.0
4.056 0.000 0.000
0.000 4.056 0.000
0.000 0.000 6.231
Ba Mn Rh
1 2 1
Cartesian
0.000 0.000 0.000 Ba
0.000 2.028 3.160 Mn
2.028 0.000 3.160 Mn
2.028 2.028 4.662 Rh

***

# 2
TbSc2Zn9 PBE optimized geometry; formation energy = -0.322 eV per atom; DOS(E_F) = 6.48 states/eV/cell; density = 6.8 g cm⁻³; size of the total moment = 0.00 Bohr magnetons per cell; space group = R-3m, No. 166
1.0
2.656 1.533 8.407
-2.656 1.533 8.407
0.000 -3.067 8.407
Tb Sc Zn
1 2 9
Cartesian
0.000 0.000 0.000 Tb
0.000 0.000 3.593 Sc
0.000 0.000 21.630 Sc
-1.358 -0.784 10.554 Zn
0.000 0.000 8.449 Zn
0.000 -1.568 14.668 Zn
-1.358 0.784 14.668 Zn
0.000 0.000 12.611 Zn
1.358 -0.784 10.554 Zn
0.000 1.568 10.554 Zn
0.000 0.000 16.774 Zn
1.358 0.784 14.668 Zn